PBE-GGA PmUZnO6, optimized geometry; formation energy (no corrections) = -2.539 eV/atom
1.0
-0.004 -1.398 5.210
-2.884 -2.848 -3.559
8.131 -6.172 -1.649
Pm O Zn U
2 12 2 2
direct
0.000 0.000 0.500 Pm
0.000 0.000 0.000 Pm
0.995 0.349 0.138 O
0.355 0.005 0.138 O
0.349 0.355 0.862 O
0.349 0.995 0.638 O
0.645 0.995 0.862 O
0.355 0.349 0.362 O
0.005 0.651 0.862 O
0.651 0.645 0.138 O
0.645 0.651 0.638 O
0.005 0.355 0.638 O
0.995 0.645 0.362 O
0.651 0.005 0.362 O
0.667 0.333 0.750 Zn
0.333 0.667 0.250 Zn
0.667 0.333 0.250 U
0.333 0.667 0.750 U